Record 1
Material: AlPBrCl2
Method: DFT, PBE
State: relaxed

V, Å³ per cell: 165
Density of states at the Fermi level, states/eV/cell: 2.53
E_form (uncorrected), eV/atom: 0.639
Space group: P4/mmm (123)

The structure in POSCAR format:
```
AlPBrCl2
1.0
5.9782 0.0000 0.0000
0.0000 5.9782 0.0000
0.0000 0.0000 4.6075
P Al Cl Br
1 1 2 1
direct
0.0000 0.0000 0.5000
0.5000 0.5000 0.5000
0.0000 0.5000 0.0000
0.5000 0.0000 0.0000
0.0000 0.0000 0.0000
```

=====

Record 2
Material: Li2MgAs
Method: DFT, PBE
State: relaxed

ΔE_f, eV per atom: -0.222
V, Å³ per cell: 77
Density of states at the Fermi level, states/eV/cell: 2.40
Space group: R-3m (166)

The structure in POSCAR format:
```
Li2MgAs
1.0
9.2731 -0.0581 -0.0341
8.7621 3.0365 -0.0341
8.7621 1.4470 2.6698
As Mg Li
1 1 2
direct
0.7500 0.7500 0.7500
0.2500 0.2500 0.2500
0.0144 0.0144 0.0144
0.4856 0.4856 0.4856
```

=====

Record 3
Material: TbCdPb
Method: DFT, PBE
State: relaxed

ΔE_f, eV per atom: -0.253
V, Å³ per cell: 165
Density of states at the Fermi level, states/eV/cell: 3.41
Space group: Cmcm (63)

The structure in POSCAR format:
```
TbCdPb
1.0
5.0861 0.0000 0.0000
0.0000 3.6548 0.0000
0.0000 -1.8274 8.8846
Pb Cd Tb
2 2 2
direct
0.7500 0.2886 0.0771
0.2500 0.7114 0.9229
0.7500 0.4572 0.4145
0.2500 0.5428 0.5855
0.7500 0.1083 0.7165
0.2500 0.8917 0.2835
```

=====

Record 4
Material: Er8Te3P3N
Method: DFT, PBE
State: relaxed

V, Å³ per cell: 381
Density of states at the Fermi level, states/eV/cell: 9.24
E_form (uncorrected), eV/atom: -1.332
Space group: R-3m (166)

The structure in POSCAR format:
```
Er8Te3P3N
1.0
7.9244 -0.0016 -0.0015
-3.9636 6.8653 -0.0254
-0.0004 -4.5511 7.0257
Er Te N P
8 3 1 3
direct
0.2157 0.4315 0.6924
0.7843 0.5685 0.3076
0.2389 0.0232 0.3078
0.7840 0.0232 0.3077
0.7611 0.9768 0.6922
0.2653 0.5307 0.2961
0.7347 0.4693 0.7039
0.2160 0.9768 0.6923
0.5000 0.5000 0.0000
0.0000 0.5000 0.0000
0.0000 0.0000 0.0000
0.0000 0.0000 0.5000
0.5000 0.5000 0.5000
0.5000 0.0000 0.5000
0.0000 0.5000 0.5000
```

=====

Record 5
Material: In2SiRh
Method: DFT, PBE
State: relaxed

V, Å³ per cell: 75
Density of states at the Fermi level, states/eV/cell: 2.86
E_form (uncorrected), eV/atom: 0.236
Space group: F-43m (216)

The structure in POSCAR format:
```
In2SiRh
1.0
-1.3502 3.9554 -2.2327
-4.6075 0.9119 -0.6263
-2.0737 3.5010 2.4282
Si Rh In
1 1 2
direct
0.7500 0.7500 0.7500
0.5000 0.5000 0.5000
0.0000 0.0000 0.0000
0.2500 0.2500 0.2500
```

=====

Record 6
Material: As4IrRh
Method: DFT, PBE
State: relaxed

ΔE_f, eV per atom: 0.818
V, Å³ per cell: 106
Density of states at the Fermi level, states/eV/cell: 2.29
Space group: F-43m (216)

The structure in POSCAR format:
```
As4IrRh
1.0
2.0018 -4.1321 -2.6579
0.0724 -4.8099 2.2374
-3.2235 -3.8108 -1.7981
As Ir Rh
4 1 1
direct
0.3751 0.8748 0.3751
0.3751 0.3751 0.8748
0.3751 0.3751 0.3751
0.8748 0.3751 0.3751
0.7500 0.7500 0.7500
0.0000 0.0000 0.0000
```

=====

Record 7
Material: DyBeCu
Method: DFT, PBE
State: relaxed

ΔE_f, eV per atom: -0.116
V, Å³ per cell: 52
Density of states at the Fermi level, states/eV/cell: 2.02
Space group: P-6m2 (187)

The structure in POSCAR format:
```
DyBeCu
1.0
-2.6496 -1.4862 -2.0189
2.6343 -2.7527 -1.4309
-2.1317 -0.7865 3.3766
Cu Be Dy
1 1 1
direct
0.1667 0.0000 0.0000
0.1667 0.3333 0.6667
0.6667 0.6667 0.3333
```

=====

Record 8
Material: LaCu4Au3O12
Method: DFT, PBE
State: relaxed

V, Å³ per cell: 220
Density of states at the Fermi level, states/eV/cell: 8.90
E_form (uncorrected), eV/atom: -0.700
Space group: Im-3 (204)

The structure in POSCAR format:
```
LaCu4Au3O12
1.0
-6.1768 1.6445 -1.6058
0.4852 -0.5895 6.5463
4.1360 4.6834 -2.0966
Au O Cu La
3 12 4 1
direct
0.0000 0.5000 0.5000
0.5000 0.5000 0.0000
0.5000 0.0000 0.5000
0.8232 0.5242 0.7011
0.5242 0.7011 0.8232
0.2989 0.8232 0.1221
0.1768 0.4758 0.2989
0.1221 0.2989 0.8232
0.2989 0.1768 0.4758
0.8232 0.1221 0.2989
0.8779 0.7011 0.1768
0.7011 0.8232 0.5242
0.7011 0.1768 0.8779
0.1768 0.8779 0.7011
0.4758 0.2989 0.1768
0.5000 0.5000 0.5000
0.5000 0.0000 0.0000
0.0000 0.0000 0.5000
0.0000 0.5000 0.0000
0.0000 0.0000 0.0000
```

=====

Record 9
Material: LiZn2Se
Method: DFT, PBE
State: relaxed

V, Å³ per cell: 68
Density of states at the Fermi level, states/eV/cell: 0.66
E_form (uncorrected), eV/atom: -0.333
Space group: P4/mmm (123)

The structure in POSCAR format:
```
LiZn2Se
1.0
3.7790 0.0313 0.0000
-0.0302 3.7790 0.0000
0.0000 0.0000 4.7482
Se Li Zn
1 1 2
direct
0.0000 0.5000 0.5000
0.5000 0.0000 0.5000
0.0000 0.0000 0.0000
0.5000 0.5000 0.0000
```

=====

Record 10
Material: DyTmMgTc
Method: DFT, PBE
State: relaxed

ΔE_f, eV per atom: -0.030
V, Å³ per cell: 88
Density of states at the Fermi level, states/eV/cell: 2.65
Space group: F-43m (216)

The structure in POSCAR format:
```
DyTmMgTc
1.0
4.9996 0.0000 0.0000
2.4998 4.3298 0.0000
2.4998 1.4433 4.0822
Tm Dy Mg Tc
1 1 1 1
direct
0.5000 0.5000 0.5000
0.0000 0.0000 0.0000
0.7500 0.7500 0.7500
0.2500 0.2500 0.2500
```

=====

Record 11
Material: NbCr2HPt
Method: DFT, PBE
State: relaxed

V, Å³ per cell: 61
E_tot, eV per atom: -7.86
Density of states at the Fermi level, states/eV/cell: 4.76
Space group: P4/mmm (123)

The structure in POSCAR format:
```
NbCr2HPt
1.0
-2.8276 -1.6563 2.1347
-1.4563 -1.6685 -3.2235
2.3058 -3.1665 0.5974
Pt Cr Nb H
1 2 1 1
direct
0.5000 0.5000 0.5000
0.0000 0.5000 0.0000
0.5000 0.0000 0.0000
0.0000 0.0000 0.5000
0.0000 0.0000 0.0000
```